# 1
{
  "formula": "CuMoPd6",
  "functional": "PBE",
  "state": "optimized geometry",
  "lattice_angstrom": [[3.932, 0.000, 0.000], [0.000, 3.932, 0.000], [0.000, 0.000, 7.756]],
  "species": ["Pd", "Pd", "Pd", "Cu", "Pd", "Pd", "Pd", "Mo"],
  "frac_coords": [[0.500, 0.500, 0.000], [0.500, 0.500, 0.500], [0.000, 0.500, 0.253], [0.000, 0.000, 0.000], [0.000, 0.500, 0.747], [0.500, 0.000, 0.253], [0.500, 0.000, 0.747], [0.000, 0.000, 0.500]],
  "m_tot_mub_per_atom": 0.000,
  "space_group": "P4/mmm, No. 123",
  "mass_density_g_cm3": 11.05,
  "e_form_ev_per_atom": -0.09
}

---

# 2
{
  "formula": "CuMoPd3",
  "functional": "PBE",
  "state": "optimized geometry",
  "lattice_angstrom": [[2.693, 0.000, 0.000], [-1.346, 7.084, 0.000], [0.000, 0.000, 8.690]],
  "species": ["Cu", "Mo", "Pd", "Mo", "Pd", "Pd", "Pd", "Pd", "Pd", "Cu"],
  "frac_coords": [[0.761, 0.522, 0.250], [0.000, 0.000, 0.500], [0.095, 0.189, 0.250], [0.000, 0.000, 0.000], [0.337, 0.673, 0.476], [0.663, 0.327, 0.524], [0.905, 0.811, 0.750], [0.663, 0.327, 0.976], [0.337, 0.673, 0.024], [0.239, 0.478, 0.750]],
  "m_tot_mub_per_atom": 0.000,
  "space_group": "Cmcm, No. 63",
  "de_polymorph_ev_per_atom": 0.0000,
  "mass_density_g_cm3": 9.59,
  "e_form_ev_per_atom": 0.27
}

---

# 3
{
  "formula": "Cu2MoPd",
  "functional": "PBE",
  "state": "optimized geometry",
  "lattice_angstrom": [[1.229, -2.438, 3.274], [1.807, 1.783, 3.425], [-2.126, 0.159, 3.692]],
  "species": ["Cu", "Mo", "Cu", "Pd"],
  "frac_coords": [[0.750, 0.750, 0.750], [0.000, 0.000, 0.000], [0.250, 0.250, 0.250], [0.500, 0.500, 0.500]],
  "m_tot_mub_per_atom": 0.000,
  "space_group": "Fm-3m, No. 225",
  "de_polymorph_ev_per_atom": 0.0000,
  "mass_density_g_cm3": 9.98,
  "e_form_ev_per_atom": 0.21
}

---

# 4
{
  "formula": "CuMo3Pd",
  "functional": "PBE",
  "state": "optimized geometry",
  "lattice_angstrom": [[-0.327, 4.430, -0.581], [-0.847, -0.633, -4.354], [-4.387, -0.207, 0.884]],
  "species": ["Cu", "Mo", "Mo", "Mo", "Pd"],
  "frac_coords": [[0.000, 0.000, 0.000], [0.000, 0.000, 0.500], [0.500, 0.000, 0.000], [0.000, 0.500, 0.000], [0.500, 0.500, 0.500]],
  "m_tot_mub_per_atom": 0.000,
  "space_group": "Pm-3m, No. 221",
  "de_polymorph_ev_per_atom": 0.0000,
  "mass_density_g_cm3": 8.45,
  "e_form_ev_per_atom": 1.56
}

---

# 5
{
  "formula": "Cu2MoPd2",
  "functional": "PBE",
  "state": "optimized geometry",
  "lattice_angstrom": [[7.146, 0.000, 0.000], [0.000, 7.146, 0.000], [0.000, 0.000, 2.794]],
  "species": ["Pd", "Cu", "Cu", "Mo", "Cu", "Mo", "Cu", "Pd", "Pd", "Pd"],
  "frac_coords": [[0.822, 0.322, 0.500], [0.621, 0.121, 0.000], [0.121, 0.379, 0.000], [0.500, 0.500, 0.000], [0.379, 0.879, 0.000], [0.000, 0.000, 0.000], [0.879, 0.621, 0.000], [0.678, 0.822, 0.500], [0.322, 0.178, 0.500], [0.178, 0.678, 0.500]],
  "m_tot_mub_per_atom": 0.000,
  "space_group": "P4/mbm, No. 127",
  "de_polymorph_ev_per_atom": 0.1438,
  "mass_density_g_cm3": 10.15,
  "e_form_ev_per_atom": 0.17
}

---

# 6
{
  "formula": "Cu2MoPd",
  "functional": "PBE",
  "state": "optimized geometry",
  "lattice_angstrom": [[-6.380, -1.390, -2.011], [-1.793, -1.163, 6.490], [-4.716, 1.216, 2.512]],
  "species": ["Cu", "Cu", "Pd", "Cu", "Cu", "Mo", "Pd", "Mo"],
  "frac_coords": [[0.624, 0.125, 0.250], [0.375, 0.376, 0.750], [0.000, 0.000, 0.000], [0.126, 0.625, 0.250], [0.875, 0.874, 0.750], [0.500, 0.500, 0.000], [0.750, 0.250, 0.500], [0.250, 0.750, 0.500]],
  "m_tot_mub_per_atom": 0.000,
  "space_group": "I-42d, No. 122",
  "de_polymorph_ev_per_atom": 0.4574,
  "mass_density_g_cm3": 9.06,
  "e_form_ev_per_atom": 0.67
}

---

# 7
{
  "formula": "CuMoPd3",
  "functional": "PBE",
  "state": "optimized geometry",
  "lattice_angstrom": [[-4.459, -0.737, 0.435], [0.013, -2.369, -3.874], [0.856, -3.803, 2.328]],
  "species": ["Pd", "Pd", "Pd", "Mo", "Cu"],
  "frac_coords": [[0.000, 0.000, 0.500], [0.500, 0.000, 0.000], [0.000, 0.500, 0.000], [0.500, 0.500, 0.500], [0.000, 0.000, 0.000]],
  "m_tot_mub_per_atom": 0.674,
  "space_group": "Pm-3m, No. 221",
  "de_polymorph_ev_per_atom": 0.7838,
  "mass_density_g_cm3": 8.49,
  "e_form_ev_per_atom": 1.05
}

---

# 8
{
  "formula": "Cu5MoPd6",
  "functional": "PBE",
  "state": "optimized geometry",
  "lattice_angstrom": [[-2.693, 2.604, -1.227], [-5.159, -3.724, 3.422], [-0.443, 4.539, 4.272]],
  "species": ["Cu", "Cu", "Pd", "Pd", "Mo", "Pd", "Pd", "Pd", "Pd", "Cu", "Cu", "Cu"],
  "frac_coords": [[0.665, 0.500, 0.670], [0.000, 0.500, 0.000], [0.833, 0.250, 0.333], [0.167, 0.750, 0.667], [0.000, 0.000, 0.000], [0.500, 0.751, 0.000], [0.167, 0.250, 0.667], [0.500, 0.249, 0.000], [0.833, 0.750, 0.333], [0.666, 0.000, 0.668], [0.334, 0.000, 0.332], [0.335, 0.500, 0.330]],
  "m_tot_mub_per_atom": 0.000,
  "space_group": "Cmmm, No. 65",
  "mass_density_g_cm3": 10.35,
  "e_form_ev_per_atom": -0.08
}